LiErSiIr after structural relaxation. Source: Alexandria, functional PBE.

Summary:
* N(E_F): 3.3 states/eV/f.u.
* E_tot: -5.805 eV/atom
* ΔE_f (raw): -0.615 eV/atom
* crystal system: cubic

Structure (CIF):
```
data_LiErSiIr
_space_group_name_H-M_alt 'F -4 3 m'
_space_group_IT_number 216
_space_group_name_Hall 'F -4 2 3'
_cell_length_a 6.379
_cell_length_b 6.379
_cell_length_c 6.379
_cell_angle_alpha 90.00
_cell_angle_beta 90.00
_cell_angle_gamma 90.00
loop_
_atom_site_label
_atom_site_fract_x
_atom_site_fract_y
_atom_site_fract_z
Li1 0.000 0.000 0.000
Er1 0.250 0.250 0.250
Si1 0.250 0.250 0.750
Ir1 0.000 0.000 0.500
```

AsOsI2N after structural relaxation. Source: Alexandria, functional PBE.

Summary:
* N(E_F): 5.3 states/eV/f.u.
* excess energy over the best structure of this formula in the dataset: 1021 meV per atom
* E_tot: -3.728 eV/atom
* ΔE_f (raw): 1.733 eV/atom
* crystal system: tetragonal

Structure (CIF):
```
data_AsOsI2N
_space_group_name_H-M_alt 'P 4/m m m'
_space_group_IT_number 123
_space_group_name_Hall '-P 4 2'
_cell_length_a 5.808
_cell_length_b 5.808
_cell_length_c 3.589
_cell_angle_alpha 90.00
_cell_angle_beta 90.00
_cell_angle_gamma 90.00
loop_
_atom_site_label
_atom_site_fract_x
_atom_site_fract_y
_atom_site_fract_z
As1 0.000 0.000 0.000
Os1 0.500 0.500 0.500
I1 0.000 0.500 0.000
N1 0.000 0.000 0.500
```

Pm3Sm2Hg4 after structural relaxation. Source: Alexandria, functional PBE.

Summary:
* N(E_F): 9.5 states/eV/f.u.
* E_tot: -3.077 eV/atom
* ΔE_f: -0.310 eV per atom
* crystal system: orthorhombic

Structure (CIF):
```
data_Pm3Sm2Hg4
_space_group_name_H-M_alt 'C m c e'
_space_group_IT_number 64
_space_group_name_Hall '-C 2ac 2'
_cell_length_a 7.009
_cell_length_b 18.594
_cell_length_c 8.238
_cell_angle_alpha 90.00
_cell_angle_beta 90.00
_cell_angle_gamma 90.00
loop_
_atom_site_label
_atom_site_fract_x
_atom_site_fract_y
_atom_site_fract_z
Pm1 0.000 0.000 0.000
Pm2 0.250 0.239 0.250
Sm1 0.000 0.094 0.585
Hg1 0.000 0.163 0.967
Hg2 0.250 0.069 0.250
```

Tc4Os after structural relaxation. Source: Alexandria, functional PBE.

Summary:
* N(E_F): 3.4 states/eV/f.u.
* excess energy over the best structure of this formula in the dataset: 23 meV per atom
* E_tot: -10.454 eV/atom
* ΔE_f: 0.084 eV per atom
* crystal system: orthorhombic

Structure (CIF):
```
data_Tc4Os
_space_group_name_H-M_alt 'I m m a'
_space_group_IT_number 74
_space_group_name_Hall '-I 2b 2'
_cell_length_a 4.196
_cell_length_b 5.458
_cell_length_c 12.784
_cell_angle_alpha 90.00
_cell_angle_beta 90.00
_cell_angle_gamma 90.00
loop_
_atom_site_label
_atom_site_fract_x
_atom_site_fract_y
_atom_site_fract_z
Tc1 0.000 0.000 0.000
Tc2 0.000 0.002 0.200
Tc3 0.000 0.250 0.394
Os1 0.000 0.250 0.608
```

La2Sm3Ho5 after structural relaxation. Source: Alexandria, functional PBE.

Summary:
* N(E_F): 15.6 states/eV/f.u.
* excess energy over the best structure of this formula in the dataset: 0 meV per atom
* E_tot: -4.508 eV/atom
* ΔE_f: 0.182 eV per atom
* crystal system: monoclinic

Structure (CIF):
```
data_La2Sm3Ho5
_space_group_name_H-M_alt 'C 1 2/c 1'
_space_group_IT_number 15
_cell_length_a 10.685
_cell_length_b 16.409
_cell_length_c 9.317
_cell_angle_alpha 90.00
_cell_angle_beta 124.98
_cell_angle_gamma 90.00
loop_
_space_group_symop_operation_xyz
'x,y,z'
'-x,-y,-z'
'-x,y,-z+1/2'
'x,-y,z+1/2'
'x+1/2,y+1/2,z'
'-x+1/2,-y+1/2,-z'
'-x+1/2,y+1/2,-z+1/2'
'x+1/2,-y+1/2,z+1/2'
loop_
_atom_site_label
_atom_site_fract_x
_atom_site_fract_y
_atom_site_fract_z
La1 0.145 0.125 0.047
Sm1 0.000 0.273 0.750
Sm2 0.153 0.378 0.545
Ho1 0.000 0.025 0.250
Ho2 0.000 0.229 0.250
Ho3 0.000 0.472 0.750
Ho4 0.238 0.383 0.234
```

K3Nd2ScS6 after structural relaxation. Source: Alexandria, functional PBE.

Summary:
* N(E_F): 0.0 states/eV/f.u.
* E_tot: -5.462 eV/atom
* ΔE_f (raw): -1.802 eV/atom
* crystal system: monoclinic

Structure (CIF):
```
data_K3Nd2ScS6
_space_group_name_H-M_alt 'C 1 2/m 1'
_space_group_IT_number 12
_cell_length_a 7.072
_cell_length_b 12.252
_cell_length_c 7.744
_cell_angle_alpha 90.00
_cell_angle_beta 107.79
_cell_angle_gamma 90.00
loop_
_space_group_symop_operation_xyz
'x,y,z'
'-x,-y,-z'
'-x,y,-z'
'x,-y,z'
'x+1/2,y+1/2,z'
'-x+1/2,-y+1/2,-z'
'-x+1/2,y+1/2,-z'
'x+1/2,-y+1/2,z'
loop_
_atom_site_label
_atom_site_fract_x
_atom_site_fract_y
_atom_site_fract_z
K1 0.000 0.000 0.000
K2 0.000 0.332 0.000
Nd1 0.000 0.166 0.500
Sc1 0.000 0.500 0.500
S1 0.224 0.343 0.702
S2 0.246 0.500 0.298
```

Cs2LiNiI6 after structural relaxation. Source: Alexandria, functional PBE.

Summary:
* N(E_F): 3.1 states/eV/f.u.
* E_tot: -2.738 eV/atom
* ΔE_f (raw): -0.868 eV/atom
* crystal system: trigonal

Structure (CIF):
```
data_Cs2LiNiI6
_space_group_name_H-M_alt 'P -3 m 1'
_space_group_IT_number 164
_space_group_name_Hall '-P 3 2"'
_cell_length_a 8.1082
_cell_length_b 8.1082
_cell_length_c 7.1102
_cell_angle_alpha 90.00
_cell_angle_beta 90.00
_cell_angle_gamma 120.00
loop_
_atom_site_label
_atom_site_fract_x
_atom_site_fract_y
_atom_site_fract_z
Cs1 0.3333 0.6667 0.2742
Li1 0.0000 0.0000 0.0000
Ni1 0.0000 0.0000 0.5000
I1 0.1570 0.3140 0.7234
```

K2NiBi after structural relaxation. Source: Alexandria, functional PBE.

Summary:
* N(E_F): 4.7 states/eV/f.u.
* excess energy over the best structure of this formula in the dataset: 475 meV per atom
* E_tot: -2.468 eV/atom
* ΔE_f: 0.496 eV per atom
* crystal system: cubic

Structure (CIF):
```
data_K2NiBi
_space_group_name_H-M_alt 'F m -3 m'
_space_group_IT_number 225
_space_group_name_Hall '-F 4 2 3'
_cell_length_a 8.118
_cell_length_b 8.118
_cell_length_c 8.118
_cell_angle_alpha 90.00
_cell_angle_beta 90.00
_cell_angle_gamma 90.00
loop_
_atom_site_label
_atom_site_fract_x
_atom_site_fract_y
_atom_site_fract_z
K1 0.250 0.250 0.250
Ni1 0.000 0.000 0.000
Bi1 0.000 0.000 0.500
```

Cd6Ag3Pd after structural relaxation. Source: Alexandria, functional PBE.

Summary:
* N(E_F): 2.3 states/eV/f.u.
* excess energy over the best structure of this formula in the dataset: 0 meV per atom
* E_tot: -2.035 eV/atom
* ΔE_f: -0.111 eV per atom
* crystal system: monoclinic

Structure (CIF):
```
data_Cd6Ag3Pd
_space_group_name_H-M_alt 'P 1 21/m 1'
_space_group_IT_number 11
_cell_length_a 9.253
_cell_length_b 4.419
_cell_length_c 9.498
_cell_angle_alpha 90.00
_cell_angle_beta 92.04
_cell_angle_gamma 90.00
loop_
_space_group_symop_operation_xyz
'x,y,z'
'-x,-y,-z'
'-x,y+1/2,-z'
'x,-y+1/2,z'
loop_
_atom_site_label
_atom_site_fract_x
_atom_site_fract_y
_atom_site_fract_z
Cd1 0.045 0.250 0.400
Cd2 0.145 0.750 0.196
Cd3 0.265 0.250 0.998
Cd4 0.349 0.250 0.300
Cd5 0.358 0.750 0.814
Cd6 0.446 0.250 0.605
Ag1 0.051 0.750 0.902
Ag2 0.151 0.250 0.704
Ag3 0.251 0.750 0.504
Pd1 0.442 0.750 0.109
```

TiOsPd2 after structural relaxation. Source: Alexandria, functional PBE.

Summary:
* N(E_F): 6.3 states/eV/f.u.
* excess energy over the best structure of this formula in the dataset: 0 meV per atom
* E_tot: -7.298 eV/atom
* ΔE_f: 0.080 eV per atom
* crystal system: cubic

Structure (CIF):
```
data_TiOsPd2
_space_group_name_H-M_alt 'F m -3 m'
_space_group_IT_number 225
_space_group_name_Hall '-F 4 2 3'
_cell_length_a 6.267
_cell_length_b 6.267
_cell_length_c 6.267
_cell_angle_alpha 90.00
_cell_angle_beta 90.00
_cell_angle_gamma 90.00
loop_
_atom_site_label
_atom_site_fract_x
_atom_site_fract_y
_atom_site_fract_z
Ti1 0.000 0.000 0.000
Os1 0.000 0.000 0.500
Pd1 0.250 0.250 0.250
```

Er5TmTl2In after structural relaxation. Source: Alexandria, functional PBE.

Summary:
* N(E_F): 9.4 states/eV/f.u.
* E_tot: -3.853 eV/atom
* ΔE_f: 0.008 eV per atom
* crystal system: tetragonal

Structure (CIF):
```
data_Er5TmTl2In
_space_group_name_H-M_alt 'I 4/m c m'
_space_group_IT_number 140
_space_group_name_Hall '-I 4 2c'
_cell_length_a 7.647
_cell_length_b 7.647
_cell_length_c 18.015
_cell_angle_alpha 90.00
_cell_angle_beta 90.00
_cell_angle_gamma 90.00
loop_
_atom_site_label
_atom_site_fract_x
_atom_site_fract_y
_atom_site_fract_z
Er1 0.000 0.000 0.000
Er2 0.212 0.288 0.134
Tm1 0.000 0.500 0.250
Tl1 0.128 0.372 0.500
In1 0.000 0.000 0.250
```

YCd2Hg after structural relaxation. Source: Alexandria, functional PBE.

Summary:
* N(E_F): 1.7 states/eV/f.u.
* E_tot: -2.470 eV/atom
* ΔE_f: -0.321 eV per atom
* crystal system: orthorhombic

Structure (CIF):
```
data_YCd2Hg
_space_group_name_H-M_alt 'F 2 2 2'
_space_group_IT_number 22
_space_group_name_Hall 'F 2 2'
_cell_length_a 7.139
_cell_length_b 7.214
_cell_length_c 7.239
_cell_angle_alpha 90.00
_cell_angle_beta 90.00
_cell_angle_gamma 90.00
loop_
_atom_site_label
_atom_site_fract_x
_atom_site_fract_y
_atom_site_fract_z
Y1 0.000 0.000 0.000
Cd1 0.000 0.000 0.500
Cd2 0.250 0.250 0.750
Hg1 0.250 0.250 0.250
```